# 1
A plane-wave DFT calculation with PBE-GGA was carried out for a geometry-optimized SrCdCl4 structure.

Results
formation energy (no corrections) = -0.573 eV/atom
crystal system = cubic

abc: 8.6383 8.6383 8.6383
angles: 90.00 90.00 90.00
Closest atoms and distances in Å follow each position.
Space group F-43m (No. 216)
Symmetry-distinct sites (fractional):
Sr: 0.0000 0.0000 0.0000  12 Cl 3.58, 4 Cd 3.74
Cd: 0.2500 0.2500 0.7500  12 Cl 3.58, 4 Sr 3.74
Cl: 0.1245 0.1245 0.3755  6 Cl 3.04-3.07



# 2
A plane-wave DFT calculation with PBE-GGA was carried out for a geometry-optimized LaTbNdSm2 structure.

Results
crystal system = monoclinic
formation energy = 265 meV per atom

abc: 8.6761 6.6010 6.3490
angles: 90.00 100.10 90.00
Closest atoms and distances in Å follow each position.
Space group P2/c (No. 13)
Symmetry-distinct sites (fractional):
La: 0.0000 0.0000 0.0000  2 La 3.17, 2 Tb 3.34, 2 Sm 3.50
Tb: 0.0000 0.4445 0.2500  2 Sm 3.20, 2 Tb 3.26, 2 La 3.34
Nd: 0.5000 0.1611 0.2500  8 Sm 3.57-3.78, 2 Nd 3.82
Sm: 0.3131 0.3220 0.6920  1 Sm 3.20, 1 Tb 3.20, 1 La 3.50, 1 Nd 3.57



# 3
A plane-wave DFT calculation with PBE-GGA was carried out for a geometry-optimized BaMnP2Os structure.

Results
crystal system = tetragonal
formation energy = -715 meV per atom

abc: 3.9326 3.9326 12.7747
angles: 90.00 90.00 90.00
Closest atoms and distances in Å follow each position.
Space group I-4m2 (No. 119)
Symmetry-distinct sites (fractional):
Ba: 0.0000 0.0000 0.0000  8 P 3.39, 4 Mn 3.75, 4 Os 3.75
Mn: 0.0000 0.5000 0.2500  4 P 2.33
P: 0.0000 0.0000 0.3481  2 Mn 2.33, 2 Os 2.33
Os: 0.0000 0.5000 0.7500  4 P 2.33



# 4
A plane-wave DFT calculation with PBE-GGA was carried out for a geometry-optimized Zr4NbAl3 structure.

Results
offset from the most stable computed form = 0.04 eV per formula unit
crystal system = monoclinic
formation energy = -333 meV per atom

abc: 15.4610 5.3154 10.9079
angles: 90.00 134.61 90.00
Closest atoms and distances in Å follow each position.
Space group C2/m (No. 12)
Symmetry-distinct sites (fractional):
Zr: 0.0000 0.2500 0.0000  2 Zr 2.66, 4 Al 2.86-2.89
Zr: 0.0784 0.0000 0.3573  6 Al 2.88-3.11, 3 Zr 3.14-3.20
Zr: 0.0829 0.5000 0.8038  6 Al 2.83-3.07, 1 Nb 3.16
Zr: 0.2189 0.5000 0.6441  6 Al 2.87-3.09, 2 Nb 3.14, 1 Zr 3.14
Nb: 0.2121 0.0000 0.7899  6 Al 2.81-3.14, 2 Zr 3.14
Al: 0.0000 0.2473 0.5000  2 Al 2.63-2.69, 2 Nb 2.81, 6 Zr 2.87-2.91
Al: 0.1653 0.0000 0.9989  7 Zr 2.83-3.07, 3 Nb 2.84-3.14
Al: 0.1661 0.5000 0.3263  9 Zr 2.86-3.11, 1 Nb 2.92



# 5
A plane-wave DFT calculation with PBE-GGA was carried out for a geometry-optimized Pa4ReSe3 structure.

Results
formation energy (no corrections) = -0.908 eV/atom
crystal system = orthorhombic

abc: 8.4072 11.5699 3.9571
angles: 90.00 90.00 90.00
Closest atoms and distances in Å follow each position.
Space group Cmmm (No. 65)
Symmetry-distinct sites (fractional):
Pa: 0.0000 0.2405 0.0000  1 Re 2.78, 5 Se 2.89-3.00
Pa: 0.2294 0.0000 0.5000  2 Re 2.76, 4 Se 2.90-3.01
Re: 0.0000 0.0000 0.0000  6 Pa 2.76-2.78
Se: 0.0000 0.5000 0.0000  6 Pa 3.00-3.01
Se: 0.2500 0.2500 0.5000  6 Pa 2.89-2.90



# 6
A plane-wave DFT calculation with PBE-GGA was carried out for a geometry-optimized TbGdDyTh structure.

Results
crystal system = cubic
formation energy = 164 meV per atom

abc: 8.0318 8.0318 8.0318
angles: 90.00 90.00 90.00
Closest atoms and distances in Å follow each position.
Space group F-43m (No. 216)
Symmetry-distinct sites (fractional):
Tb: 0.0000 0.0000 0.0000  4 Th 3.48, 4 Dy 3.48
Gd: 0.0000 0.0000 0.5000  4 Dy 3.48, 4 Th 3.48
Dy: 0.2500 0.2500 0.2500  4 Gd 3.48, 4 Tb 3.48
Th: 0.2500 0.2500 0.7500  4 Gd 3.48, 4 Tb 3.48



# 7
A plane-wave DFT calculation with PBE-GGA was carried out for a geometry-optimized Fe2NiPdSe6 structure.

Results
formation energy (no corrections) = -0.205 eV/atom
crystal system = monoclinic

abc: 10.4712 11.9022 6.2725
angles: 90.00 111.21 90.00
Closest atoms and distances in Å follow each position.
Space group C2/c (No. 15)
Symmetry-distinct sites (fractional):
Fe: 0.1243 0.0962 0.2218  5 Se 2.26-2.41
Ni: 0.0000 0.4191 0.2500  6 Se 2.38-2.51
Pd: 0.0000 0.2599 0.7500  6 Se 2.51-2.71
Se: 0.1015 0.0912 0.5693  3 Fe 2.28-2.41
Se: 0.1356 0.4259 0.6605  1 Fe 2.36, 2 Ni 2.45-2.51, 1 Pd 2.61
Se: 0.1416 0.2828 0.1677  1 Fe 2.26, 1 Ni 2.38, 1 Pd 2.51



# 8
A plane-wave DFT calculation with PBE-GGA was carried out for a geometry-optimized LiAcTmCu structure.

Results
crystal system = cubic
formation energy = 46 meV per atom

abc: 7.4381 7.4381 7.4381
angles: 90.00 90.00 90.00
Closest atoms and distances in Å follow each position.
Space group F-43m (No. 216)
Symmetry-distinct sites (fractional):
Li: 0.0000 0.0000 0.0000  4 Ac 3.22, 4 Tm 3.22
Ac: 0.2500 0.2500 0.2500  4 Li 3.22, 4 Cu 3.22
Tm: 0.2500 0.2500 0.7500  4 Li 3.22, 4 Cu 3.22
Cu: 0.0000 0.0000 0.5000  4 Tm 3.22, 4 Ac 3.22



# 9
A plane-wave DFT calculation with PBE-GGA was carried out for a geometry-optimized ZrCuSi structure.

Results
formation energy (no corrections) = -0.235 eV/atom
crystal system = monoclinic

abc: 14.5946 3.6960 7.7273
angles: 90.00 91.57 90.00
Closest atoms and distances in Å follow each position.
Space group C2/m (No. 12)
Symmetry-distinct sites (fractional):
Zr: 0.0776 0.0000 0.2978  3 Si 2.67-2.69
Zr: 0.0966 0.5000 0.9185  5 Si 2.73-2.82
Cu: 0.1924 0.5000 0.5529  2 Si 2.39, 5 Cu 2.49-2.64
Cu: 0.2410 0.5000 0.2461  4 Si 2.34-2.54, 3 Cu 2.49-2.59
Si: 0.1020 0.0000 0.6436  3 Cu 2.39-2.42
Si: 0.2115 0.0000 0.0677  3 Cu 2.34-2.54, 2 Si 2.42



# 10
A plane-wave DFT calculation with PBE-GGA was carried out for a geometry-optimized InCoMo2 structure.

Results
crystal system = monoclinic
formation energy = 310 meV per atom

abc: 2.8048 4.3240 5.3402
angles: 90.00 98.00 90.00
Closest atoms and distances in Å follow each position.
Space group Pm (No. 6)
Symmetry-distinct sites (fractional):
In: 0.0000 0.0000 0.0000  2 Co 2.65, 2 In 2.80, 5 Mo 2.83-2.94
Co: 0.0231 0.5000 0.7150  3 Mo 2.51-2.68, 2 In 2.65, 2 Co 2.80
Mo: 0.3948 0.0000 0.5174  4 Mo 2.63-2.80, 4 Co 2.68-2.89, 3 In 2.83-2.94
Mo: 0.5921 0.5000 0.2695  1 Co 2.51, 4 Mo 2.63-2.80



# 11
A plane-wave DFT calculation with PBE-GGA was carried out for a geometry-optimized NbHg3O structure.

Results
formation energy (no corrections) = 1.251 eV/atom
offset from the most stable computed form = 2.43 eV per formula unit
crystal system = cubic

abc: 5.4304 5.4304 5.4304
angles: 90.00 90.00 90.00
Closest atoms and distances in Å follow each position.
Space group Pm-3m (No. 221)
Symmetry-distinct sites (fractional):
Nb: 0.0000 0.0000 0.0000  6 Hg 2.72
Hg: 0.0000 0.0000 0.5000  2 Nb 2.72
O: 0.5000 0.5000 0.5000  12 Hg 3.84



# 12
A plane-wave DFT calculation with PBE-GGA was carried out for a geometry-optimized NdGdDyIn structure.

Results
crystal system = cubic
formation energy = -159 meV per atom

abc: 7.8092 7.8092 7.8092
angles: 90.00 90.00 90.00
Closest atoms and distances in Å follow each position.
Space group F-43m (No. 216)
Symmetry-distinct sites (fractional):
Nd: 0.0000 0.0000 0.0000  4 Dy 3.38, 4 In 3.38
Gd: 0.0000 0.0000 0.5000  4 In 3.38, 4 Dy 3.38
Dy: 0.2500 0.2500 0.7500  4 Gd 3.38, 4 Nd 3.38
In: 0.2500 0.2500 0.2500  4 Nd 3.38, 4 Gd 3.38



Summary of density in g cm⁻³
3.5; 6.9; 7.5; 5.6; 11.6; 9.1; 6.8; 7.5; 5.8; 9.5; 7.4; 8.1
(order as listed above)
Summary of V in A^3/atom
26.9; 35.8; 19.8; 19.9; 24.1; 32.4; 18.2; 25.7; 17.4; 16.0; 32.0; 29.8
(order as listed above)